(1)
This record from the Open Quantum Materials Database describes K2CdReS4 after structural relaxation. The functional is PBE-GGA.

Lattice parameters (Å, degrees): 6.6321 6.6321 7.3976 123.77 123.77 75.92
With the nearest neighbours (Å) after each atom.
Atoms (fractional coordinates):
1 Re 0.2360 0.7640 0.5000  4 S 2.24
2 K 0.7357 0.2643 0.5000  8 S 3.52-3.53
3 K 0.4844 0.5156 0.0000  4 S 3.11
4 Cd 0.9848 0.0152 0.0000  4 S 2.61
5 S 0.2547 0.0585 0.8652  1 Re 2.24
6 S 0.1660 0.4161 0.4476  1 Re 2.24
7 S 0.9415 0.7453 0.1348  1 Re 2.24
8 S 0.5839 0.8340 0.5524  1 Re 2.24

Electronic total energy, eV/atom: -4.62

(2)
This record from the Open Quantum Materials Database describes K3CdS4 after structural relaxation. The functional is PBE-GGA.

Lattice parameters (Å, degrees): 7.6899 7.6899 7.6899 133.11 133.11 68.48
With the nearest neighbours (Å) after each atom.
Atoms (fractional coordinates):
1 S 0.5000 0.0000 0.5000  2 Cd 3.06, 4 K 3.06-3.18
2 S 0.0000 0.5000 0.5000  2 Cd 3.06, 4 K 3.06-3.18
3 S 0.8116 0.8116 0.0000  1 Cd 2.40
4 S 0.1884 0.1884 0.0000  1 Cd 2.40
5 K 0.2500 0.7500 0.5000  6 S 3.16-3.18
6 K 0.5000 0.5000 0.0000  4 S 3.06
7 K 0.7500 0.2500 0.5000  6 S 3.16-3.18
8 Cd 0.0000 0.0000 0.0000  2 S 2.40

Electronic total energy, eV/atom: -2.99

(3)
This record from the Open Quantum Materials Database describes KScCdS3 after structural relaxation. The functional is PBE-GGA.

Lattice parameters (Å, degrees): 8.2214 3.9473 9.9349 90.00 109.03 90.00
With the nearest neighbours (Å) after each atom.
Atoms (fractional coordinates):
1 S 0.4689 0.7500 0.6398  3 Sc 2.48-2.62
2 S 0.5311 0.2500 0.3602  3 Sc 2.48-2.62
3 S 0.8877 0.7500 0.6280  1 Cd 2.48, 2 Sc 2.65
4 S 0.2433 0.7500 0.0520  3 Cd 2.54-2.71
5 S 0.1123 0.2500 0.3720  1 Cd 2.48, 2 Sc 2.65
6 S 0.7567 0.2500 0.9480  3 Cd 2.54-2.71
7 Sc 0.6710 0.2500 0.6222  5 S 2.48-2.65
8 Sc 0.3290 0.7500 0.3778  5 S 2.48-2.65
9 K 0.2347 0.2500 0.7466  5 S 3.17-3.52
10 K 0.7653 0.7500 0.2534  5 S 3.17-3.52
11 Cd 0.9102 0.7500 0.8831  4 S 2.48-2.71
12 Cd 0.0898 0.2500 0.1169  4 S 2.48-2.71

Relative energy among the computed polymorphs, meV/atom: 0
Electronic total energy, eV/atom: -4.75

(4)
This record from the Open Quantum Materials Database describes KScCdS3 after structural relaxation. The functional is PBE-GGA.

Lattice parameters (Å, degrees): 11.2597 3.8368 13.9717 90.00 90.00 90.00
With the nearest neighbours (Å) after each atom.
Atoms (fractional coordinates):
1 S 0.1971 0.0000 0.3510  1 Sc 2.48, 2 Cd 2.53
2 S 0.3029 0.5000 0.8510  1 Sc 2.48, 2 Cd 2.53
3 S 0.4027 0.5000 0.1236  1 Cd 2.47, 2 Sc 2.60
4 S 0.9027 0.5000 0.3764  1 Cd 2.47, 2 Sc 2.60
5 S 0.8029 0.5000 0.6490  1 Sc 2.48, 2 Cd 2.53
6 S 0.9719 0.0000 0.8498  1 Cd 2.60, 2 Sc 2.63
7 S 0.5973 0.0000 0.8764  1 Cd 2.47, 2 Sc 2.60
8 S 0.6971 0.0000 0.1490  1 Sc 2.48, 2 Cd 2.53
9 S 0.5281 0.5000 0.3498  1 Cd 2.60, 2 Sc 2.63
10 S 0.0973 0.0000 0.6236  1 Cd 2.47, 2 Sc 2.60
11 S 0.4719 0.0000 0.6502  1 Cd 2.60, 2 Sc 2.63
12 S 0.0281 0.5000 0.1502  1 Cd 2.60, 2 Sc 2.63
13 Sc 0.4972 0.0000 0.2234  5 S 2.48-2.63
14 Sc 0.0028 0.5000 0.7234  5 S 2.48-2.63
15 Sc 0.9972 0.0000 0.2766  5 S 2.48-2.63
16 Sc 0.5028 0.5000 0.7766  5 S 2.48-2.63
17 Cd 0.2332 0.5000 0.2361  4 S 2.47-2.60
18 Cd 0.7668 0.0000 0.7639  4 S 2.47-2.60
19 Cd 0.7332 0.5000 0.2639  4 S 2.47-2.60
20 Cd 0.2668 0.0000 0.7361  4 S 2.47-2.60
21 K 0.3046 0.5000 0.5099  7 S 3.17-3.41
22 K 0.6954 0.0000 0.4901  7 S 3.17-3.41
23 K 0.8046 0.5000 0.9901  7 S 3.17-3.41
24 K 0.1954 0.0000 0.0099  7 S 3.17-3.41

Relative energy among the computed polymorphs, meV/atom: 3
Electronic total energy, eV/atom: -4.75

(5)
This record from the Open Quantum Materials Database describes KScCdS3 after structural relaxation. The functional is PBE-GGA.

Lattice parameters (Å, degrees): 7.4478 7.4478 10.3637 90.00 90.00 149.39
With the nearest neighbours (Å) after each atom.
Atoms (fractional coordinates):
1 K 0.2436 0.7564 0.7500  8 S 3.20-3.53
2 K 0.7564 0.2436 0.2500  8 S 3.20-3.53
3 S 0.1206 0.8794 0.4618  1 Cd 2.47, 2 Sc 2.65
4 S 0.5681 0.4319 0.7500  2 Cd 2.52, 2 Sc 2.77
5 S 0.4319 0.5681 0.2500  2 Cd 2.52, 2 Sc 2.77
6 S 0.8794 0.1206 0.5382  1 Cd 2.47, 2 Sc 2.65
7 S 0.1206 0.8794 0.0382  1 Cd 2.47, 2 Sc 2.65
8 S 0.8794 0.1206 0.9618  1 Cd 2.47, 2 Sc 2.65
9 Cd 0.9579 0.0421 0.7500  4 S 2.47-2.52
10 Cd 0.0421 0.9579 0.2500  4 S 2.47-2.52
11 Sc 0.5000 0.5000 0.0000  6 S 2.65-2.77
12 Sc 0.5000 0.5000 0.5000  6 S 2.65-2.77

Relative energy among the computed polymorphs, meV/atom: 13
Electronic total energy, eV/atom: -4.74

(6)
This record from the Open Quantum Materials Database describes KSmCdS3 after structural relaxation. The functional is PBE-GGA.

Lattice parameters (Å, degrees): 8.3387 4.1777 10.2375 90.00 106.85 90.00
With the nearest neighbours (Å) after each atom.
Atoms (fractional coordinates):
1 K 0.2536 0.7500 0.7403  4 S 3.21-3.36
2 K 0.7464 0.2500 0.2597  4 S 3.21-3.36
3 Sm 0.8137 0.7500 0.8712  5 S 2.72-2.84
4 Sm 0.1863 0.2500 0.1288  5 S 2.72-2.84
5 S 0.7313 0.7500 0.5555  3 Cd 2.58-2.69
6 S 0.2687 0.2500 0.4445  3 Cd 2.58-2.69
7 S 0.4212 0.7500 0.1442  1 Cd 2.50
8 S 0.5788 0.2500 0.8558  1 Cd 2.50
9 S 0.9652 0.7500 0.1451  3 Sm 2.72-2.82
10 S 0.0348 0.2500 0.8549  3 Sm 2.72-2.82
11 Cd 0.4163 0.7500 0.3874  4 S 2.50-2.69
12 Cd 0.5837 0.2500 0.6126  4 S 2.50-2.69

Electronic total energy, eV/atom: -4.56

(7)
This record from the Open Quantum Materials Database describes KSmCdS3 after structural relaxation. The functional is PBE-GGA.

Lattice parameters (Å, degrees): 11.8395 4.2195 12.3480 90.00 90.00 90.00
With the nearest neighbours (Å) after each atom.
Atoms (fractional coordinates):
1 K 0.6511 0.0000 0.5039  5 S 3.13-3.28
2 K 0.8489 0.5000 0.0039  5 S 3.13-3.28
3 K 0.1511 0.0000 0.9961  5 S 3.13-3.28
4 K 0.3489 0.5000 0.4961  5 S 3.13-3.28
5 S 0.4068 0.5000 0.9337  1 Cd 2.52
6 S 0.4507 0.0000 0.3206  1 Cd 2.56
7 S 0.0493 0.5000 0.8206  1 Cd 2.56
8 S 0.7265 0.5000 0.3311  2 Cd 2.55, 1 Sm 2.82
9 S 0.5932 0.0000 0.0663  1 Cd 2.52
10 S 0.9508 0.0000 0.1794  1 Cd 2.56
11 S 0.5493 0.5000 0.6794  1 Cd 2.56
12 S 0.2735 0.0000 0.6689  2 Cd 2.55, 1 Sm 2.82
13 S 0.7735 0.0000 0.8311  2 Cd 2.55, 1 Sm 2.82
14 S 0.2265 0.5000 0.1689  2 Cd 2.55, 1 Sm 2.82
15 S 0.9068 0.5000 0.5663  1 Cd 2.52
16 S 0.0932 0.0000 0.4337  1 Cd 2.52
17 Cd 0.7381 0.0000 0.2157  4 S 2.52-2.56
18 Cd 0.2619 0.5000 0.7843  4 S 2.52-2.56
19 Cd 0.7619 0.5000 0.7157  4 S 2.52-2.56
20 Cd 0.2381 0.0000 0.2843  4 S 2.52-2.56
21 Sm 0.9643 0.5000 0.3365  6 S 2.82-2.92
22 Sm 0.4643 0.5000 0.1635  6 S 2.82-2.92
23 Sm 0.0357 0.0000 0.6635  6 S 2.82-2.92
24 Sm 0.5357 0.0000 0.8365  6 S 2.82-2.92

Electronic total energy, eV/atom: -4.55

(8)
This record from the Open Quantum Materials Database describes K2CdSnS4 after structural relaxation. The functional is PBE-GGA.

Lattice parameters (Å, degrees): 7.8568 7.8568 15.0741 95.56 95.56 90.03
With the nearest neighbours (Å) after each atom.
Atoms (fractional coordinates):
1 S 0.9264 0.5725 0.2709  1 Sn 2.39, 1 Cd 2.64
2 S 0.7259 0.6338 0.5567  1 Sn 2.40, 1 Cd 2.60
3 S 0.9014 0.0986 0.2500  2 Cd 2.47
4 S 0.2741 0.3662 0.4433  1 Sn 2.40, 1 Cd 2.60
5 S 0.5707 0.4293 0.7500  2 Sn 2.50
6 S 0.0986 0.9014 0.7500  2 Cd 2.47
7 S 0.3662 0.2741 0.9433  1 Sn 2.40, 1 Cd 2.60
8 S 0.4275 0.0736 0.2291  1 Sn 2.39, 1 Cd 2.64
9 S 0.1369 0.7392 0.0539  1 Sn 2.40, 1 Cd 2.58
10 S 0.8631 0.2608 0.9461  1 Sn 2.40, 1 Cd 2.58
11 S 0.4293 0.5707 0.2500  2 Sn 2.50
12 S 0.7392 0.1369 0.5539  1 Sn 2.40, 1 Cd 2.58
13 S 0.6338 0.7259 0.0567  1 Sn 2.40, 1 Cd 2.60
14 S 0.0736 0.4275 0.7291  1 Sn 2.39, 1 Cd 2.64
15 S 0.5725 0.9264 0.7709  1 Sn 2.39, 1 Cd 2.64
16 S 0.2608 0.8631 0.4461  1 Sn 2.40, 1 Cd 2.58
17 K 0.3453 0.6844 0.8823  7 S 3.19-3.48
18 K 0.3029 0.1397 0.6204  6 S 3.23-3.50
19 K 0.6971 0.8603 0.3796  6 S 3.23-3.50
20 K 0.6844 0.3453 0.3823  7 S 3.19-3.48
21 K 0.1397 0.3029 0.1204  6 S 3.23-3.50
22 K 0.8603 0.6971 0.8796  6 S 3.23-3.50
23 K 0.3156 0.6547 0.6177  7 S 3.19-3.48
24 K 0.6547 0.3156 0.1177  7 S 3.19-3.48
25 Sn 0.2010 0.5987 0.3548  4 S 2.39-2.50
26 Sn 0.5987 0.2010 0.8548  4 S 2.39-2.50
27 Sn 0.7990 0.4013 0.6452  4 S 2.39-2.50
28 Sn 0.4013 0.7990 0.1452  4 S 2.39-2.50
29 Cd 0.1836 0.0926 0.3380  4 S 2.47-2.64
30 Cd 0.8164 0.9074 0.6620  4 S 2.47-2.64
31 Cd 0.9074 0.8164 0.1620  4 S 2.47-2.64
32 Cd 0.0926 0.1836 0.8380  4 S 2.47-2.64

Electronic total energy, eV/atom: -3.81

(9)
This record from the Open Quantum Materials Database describes KTmCdS3 after structural relaxation. The functional is PBE-GGA.

Lattice parameters (Å, degrees): 8.3960 4.0789 10.1407 90.00 108.67 90.00
With the nearest neighbours (Å) after each atom.
Atoms (fractional coordinates):
1 S 0.2355 0.7500 0.5601  3 Cd 2.56-2.69
2 S 0.8976 0.7500 0.1363  1 Cd 2.49, 2 Tm 2.76
3 S 0.4637 0.7500 0.1407  3 Tm 2.63-2.72
4 S 0.7645 0.2500 0.4399  3 Cd 2.56-2.69
5 S 0.5363 0.2500 0.8593  3 Tm 2.63-2.72
6 S 0.1024 0.2500 0.8637  1 Cd 2.49, 2 Tm 2.76
7 Cd 0.0831 0.2500 0.6135  4 S 2.49-2.69
8 Cd 0.9169 0.7500 0.3865  4 S 2.49-2.69
9 Tm 0.3259 0.7500 0.8686  5 S 2.63-2.76
10 Tm 0.6741 0.2500 0.1314  5 S 2.63-2.76
11 K 0.7758 0.7500 0.7690  5 S 3.20-3.53
12 K 0.2242 0.2500 0.2310  5 S 3.20-3.53

Electronic total energy, eV/atom: -4.53